CoAgTe | PBE | optimized geometry

Computed properties:
Crystal system = trigonal
Mass density = 8.0 g/cm³
Energy relative to the lowest polymorph listed for this composition = 183 meV per atom
M_tot = 0.0 μB/cell
Raw formation energy = 271 meV per atom
Density of states at the Fermi level = 0.7 states/eV/f.u.
Total DFT energy (no corrections) = -4.095 eV/atom

Cell lengths 3.437, 3.437, 6.001 Å; angles 90.00, 90.00, 120.00 degrees
Element x y z (fractional)
Ag1 0.000 0.000 0.054
Co1 0.667 0.333 0.356
Te1 0.333 0.667 0.590

***

TmThPa2P4 | PBE | optimized geometry

Computed properties:
Crystal system = monoclinic
Mass density = 9.0 g/cm³
M_tot = 0.0 μB/cell
Energy relative to the elements = -1.42 eV/atom
Density of states at the Fermi level = 7.0 states/eV/f.u.
Total DFT energy (no corrections) = -7.990 eV/atom

Cell lengths 4.012, 6.933, 6.947 Å; angles 70.46, 90.00, 90.00 degrees
Element x y z (fractional)
Tm1 0.500 0.500 0.000
Th1 0.000 0.500 0.500
Pa1 0.000 0.000 0.000
Pa2 0.500 0.000 0.500
P1 0.000 0.754 0.755
P2 0.000 0.246 0.245
P3 0.500 0.758 0.240
P4 0.500 0.242 0.760

***

H3BrCl | PBE | optimized geometry

Computed properties:
Crystal system = cubic
Mass density = 3.7 g/cm³
Energy relative to the lowest polymorph listed for this composition = 155 meV per atom
M_tot = 0.0 μB/cell
Density of states at the Fermi level = 1.5 states/eV/f.u.
Total DFT energy (no corrections) = -1.938 eV/atom

Cell lengths 3.748, 3.748, 3.748 Å; angles 90.00, 90.00, 90.00 degrees
Element x y z (fractional)
H1 0.000 0.500 0.000
H2 0.000 0.000 0.500
H3 0.500 0.000 0.000
Br1 0.500 0.500 0.500
Cl1 0.000 0.000 0.000

***

Hf2TeS | PBE | optimized geometry

Computed properties:
Crystal system = cubic
Mass density = 11.0 g/cm³
Energy relative to the lowest polymorph listed for this composition = 145 meV per atom
M_tot = 0.0 μB/cell
Raw formation energy = -704 meV per atom
Density of states at the Fermi level = 0.4 states/eV/f.u.
Total DFT energy (no corrections) = -7.498 eV/atom

Cell lengths 4.792, 4.792, 4.792 Å; angles 60.00, 60.00, 60.00 degrees
Element x y z (fractional)
S1 0.000 0.000 0.000
Te1 0.500 0.500 0.500
Hf1 0.250 0.250 0.250
Hf2 0.750 0.750 0.750